<i>
Density functional theory data (PBE) for an optimized crystal structure of TlAgBi.

Cell and atoms, written as extended XYZ:
```
3
Lattice="5.1820 0.0000 0.0000 -2.5910 4.4877 0.0000 0.0000 0.0000 3.6017" Properties=species:S:1:pos:R:3 pbc="T T T"
Tl 0.0000 0.0000 0.0000
Ag 0.0000 2.9918 1.8074
Bi 2.5910 1.4959 1.8037
```

- Magnetic moment: 0.00 μB/f.u.
- SG: P3m1

---

<ii>
Density functional theory data (PBE) for an optimized crystal structure of TlAgBi.

Cell and atoms, written as extended XYZ:
```
3
Lattice="-1.7181 1.7181 6.8687 1.7181 -1.7181 6.8687 1.7181 1.7181 -6.8687" Properties=species:S:1:pos:R:3 pbc="T T T"
Tl 0.0000 0.0000 0.0000
Ag 0.0000 0.0000 8.9886
Bi 0.0000 0.0000 4.0530
```

- Magnetic moment: 0.00 μB/f.u.
- SG: I4mm

---

Which structure is the least stable? The one labeled <ii>.

---

<i>
Density functional theory data (PBE) for an optimized crystal structure of Tl2AgBi2.

Cell and atoms, written as extended XYZ:
```
5
Lattice="-2.1359 2.1359 8.6196 2.1359 -2.1359 8.6196 2.1359 2.1359 -8.6196" Properties=species:S:1:pos:R:3 pbc="T T T"
Tl 2.1359 0.0000 4.3098
Tl 0.0000 2.1359 4.3098
Ag 0.0000 0.0000 0.0000
Bi 0.0000 0.0000 7.1346
Bi 0.0000 0.0000 10.1047
```

- Magnetic moment: 0.00 μB/f.u.
- SG: I4/mmm

---

<ii>
Density functional theory data (PBE) for an optimized crystal structure of Tl2AgBi2.

Cell and atoms, written as extended XYZ:
```
10
Lattice="7.6075 0.0000 0.0000 0.0000 7.6075 0.0000 0.0000 0.0000 5.5072" Properties=species:S:1:pos:R:3 pbc="T T T"
Tl 1.2641 2.5397 0.0000
Tl 2.5397 6.3434 0.0000
Tl 5.0678 1.2641 0.0000
Tl 6.3434 5.0678 0.0000
Ag 0.0000 0.0000 2.7536
Ag 3.8037 3.8037 2.7536
Bi 1.1143 4.9181 2.7536
Bi 2.6894 1.1143 2.7536
Bi 4.9181 6.4932 2.7536
Bi 6.4932 2.6894 2.7536
```

- Magnetic moment: 0.00 μB/f.u.
- SG: P4/mbm

---

<iii>
Density functional theory data (PBE) for an optimized crystal structure of Tl2AgBi2.

Cell and atoms, written as extended XYZ:
```
10
Lattice="7.6270 0.0000 0.0000 0.0000 7.6270 0.0000 0.0000 0.0000 5.2930" Properties=species:S:1:pos:R:3 pbc="T T T"
Tl 1.2103 2.6032 0.0000
Tl 2.6032 6.4167 0.0000
Tl 5.0238 1.2103 0.0000
Tl 6.4167 5.0238 0.0000
Ag 0.0000 0.0000 0.0000
Ag 3.8135 3.8135 0.0000
Bi 1.0942 4.9077 2.6465
Bi 2.7193 1.0942 2.6465
Bi 4.9077 6.5328 2.6465
Bi 6.5328 2.7193 2.6465
```

- Magnetic moment: 0.00 μB/f.u.
- SG: P4/mbm

---

Which structure is the least stable? The one labeled <i>.

---

<i>
Density functional theory data (PBE) for an optimized crystal structure of TlAg2Bi2.

Cell and atoms, written as extended XYZ:
```
10
Lattice="9.1341 0.0000 0.0000 0.0000 9.1341 0.0000 0.0000 0.0000 3.2524" Properties=species:S:1:pos:R:3 pbc="T T T"
Tl 0.0000 0.0000 0.0000
Tl 4.5670 4.5670 0.0000
Ag 1.4312 3.1358 1.6262
Ag 3.1358 7.7029 1.6262
Ag 5.9983 1.4312 1.6262
Ag 7.7029 5.9983 1.6262
Bi 1.2833 5.8504 0.0000
Bi 3.2837 1.2833 0.0000
Bi 5.8504 7.8507 0.0000
Bi 7.8507 3.2837 0.0000
```

- Magnetic moment: 0.00 μB/f.u.
- SG: P4/mbm

---

<ii>
Density functional theory data (PBE) for an optimized crystal structure of TlAg2Bi2.

Cell and atoms, written as extended XYZ:
```
10
Lattice="8.9964 0.0000 0.0000 0.0000 8.9964 0.0000 0.0000 0.0000 3.3170" Properties=species:S:1:pos:R:3 pbc="T T T"
Tl 0.0000 0.0000 0.0000
Tl 4.4982 4.4982 0.0000
Ag 1.3031 3.1951 0.0000
Ag 3.1951 7.6933 0.0000
Ag 5.8013 1.3031 0.0000
Ag 7.6933 5.8013 0.0000
Bi 1.3639 5.8621 1.6585
Bi 3.1343 1.3639 1.6585
Bi 5.8621 7.6325 1.6585
Bi 7.6325 3.1343 1.6585
```

- Magnetic moment: 0.00 μB/f.u.
- SG: P4/mbm

---

<iii>
Density functional theory data (PBE) for an optimized crystal structure of TlAg2Bi2.

Cell and atoms, written as extended XYZ:
```
5
Lattice="-2.4154 2.4154 6.3465 2.4154 -2.4154 6.3465 2.4154 2.4154 -6.3465" Properties=species:S:1:pos:R:3 pbc="T T T"
Tl 0.0000 0.0000 0.0000
Ag 2.4154 0.0000 3.1732
Ag 0.0000 2.4154 3.1732
Bi 0.0000 0.0000 4.8299
Bi 0.0000 0.0000 7.8631
```

- Magnetic moment: 0.00 μB/f.u.
- SG: I4/mmm

---

Which structure is the least stable? The one labeled <i>.

---

<i>
Density functional theory data (PBE) for an optimized crystal structure of Tm4AgBi.

Cell and atoms, written as extended XYZ:
```
24
Lattice="0.0000 6.9445 6.9445 6.9445 0.0000 6.9445 6.9445 6.9445 0.0000" Properties=species:S:1:pos:R:3 pbc="T T T"
Tm 3.4723 3.4723 0.8788
Tm 3.4723 0.8788 3.4723
Tm 6.0657 3.4723 3.4723
Tm 8.8372 5.0518 5.0518
Tm 6.9445 6.9445 2.5386
Tm 6.9445 2.5386 6.9445
Tm 11.3504 6.9445 6.9445
Tm 0.8788 3.4723 3.4723
Tm 3.4723 6.0657 3.4723
Tm 3.4723 3.4723 6.0657
Tm 5.0518 8.8372 5.0518
Tm 5.0518 5.0518 8.8372
Tm 8.8372 8.8372 8.8372
Tm 2.5386 6.9445 6.9445
Tm 6.9445 11.3504 6.9445
Tm 6.9445 6.9445 11.3504
Ag 11.7978 9.0358 9.0358
Ag 9.0358 11.7978 9.0358
Ag 9.0358 9.0358 11.7978
Ag 11.7978 11.7978 11.7978
Bi 5.6275 5.6275 5.6275
Bi 8.2615 8.2615 5.6275
Bi 8.2615 5.6275 8.2615
Bi 5.6275 8.2615 8.2615
```

- Magnetic moment: 0.00 μB/f.u.
- SG: F-43m

---

<ii>
Density functional theory data (PBE) for an optimized crystal structure of Tm4AgBi.

Cell and atoms, written as extended XYZ:
```
12
Lattice="2.7592 -10.2088 0.0000 2.7592 10.2088 0.0000 0.0000 0.0000 6.3720" Properties=species:S:1:pos:R:3 pbc="T T T"
Tm 2.7592 9.0646 4.7790
Tm 2.7592 6.0095 3.2010
Tm 2.7592 6.0095 6.3570
Tm 2.7592 2.5292 4.7790
Tm 2.7592 -2.5292 1.5930
Tm 2.7592 -6.0095 0.0150
Tm 2.7592 -6.0095 3.1710
Tm 2.7592 -9.0646 1.5930
Ag 2.7592 8.5516 1.5930
Ag 2.7592 -8.5516 4.7790
Bi 2.7592 3.0336 1.5930
Bi 2.7592 -3.0336 4.7790
```

- Magnetic moment: 0.00 μB/f.u.
- SG: Cmcm

---

Which structure is the least stable? The one labeled <ii>.

---

<i>
Density functional theory data (PBE) for an optimized crystal structure of Ag3BiW.

Cell and atoms, written as extended XYZ:
```
5
Lattice="5.0897 0.0000 0.0000 0.0000 5.0897 0.0000 0.0000 0.0000 5.0897" Properties=species:S:1:pos:R:3 pbc="T T T"
Ag 0.0000 0.0000 2.5448
Ag 0.0000 2.5448 0.0000
Ag 2.5448 0.0000 0.0000
Bi 2.5448 2.5448 2.5448
W 0.0000 0.0000 0.0000
```

- Magnetic moment: 0.00 μB/f.u.
- SG: Pm-3m

---

<ii>
Density functional theory data (PBE) for an optimized crystal structure of Ag3BiW.

Cell and atoms, written as extended XYZ:
```
5
Lattice="5.3358 0.0000 0.0000 0.0000 5.3358 0.0000 0.0000 0.0000 5.3358" Properties=species:S:1:pos:R:3 pbc="T T T"
Ag 0.0000 0.0000 2.6679
Ag 0.0000 2.6679 0.0000
Ag 2.6679 0.0000 0.0000
Bi 0.0000 0.0000 0.0000
W 2.6679 2.6679 2.6679
```

- Magnetic moment: 5.71 μB/f.u.
- SG: Pm-3m

---

Which structure is the least stable? The one labeled <ii>.

---

<i>
Density functional theory data (PBE) for an optimized crystal structure of YAgBi3.

Cell and atoms, written as extended XYZ:
```
5
Lattice="5.4969 0.0000 0.0000 0.0000 5.4969 0.0000 0.0000 0.0000 5.4969" Properties=species:S:1:pos:R:3 pbc="T T T"
Y 0.0000 0.0000 0.0000
Ag 2.7485 2.7485 2.7485
Bi 0.0000 2.7485 2.7485
Bi 2.7485 0.0000 2.7485
Bi 2.7485 2.7485 0.0000
```

- Magnetic moment: 0.00 μB/f.u.
- SG: Pm-3m

---

<ii>
Density functional theory data (PBE) for an optimized crystal structure of YAgBi3.

Cell and atoms, written as extended XYZ:
```
5
Lattice="5.8729 0.0000 0.0000 0.0000 5.8729 0.0000 0.0000 0.0000 5.8729" Properties=species:S:1:pos:R:3 pbc="T T T"
Y 0.0000 0.0000 0.0000
Ag 2.9364 2.9364 2.9364
Bi 0.0000 0.0000 2.9364
Bi 0.0000 2.9364 0.0000
Bi 2.9364 0.0000 0.0000
```

- Magnetic moment: 0.00 μB/f.u.
- SG: Pm-3m

---

Which structure is the least stable? The one labeled <ii>.